# 1
Pr2SnPt after structural relaxation, computed with PBE-GGA. Values from VASP.

Quantum ESPRESSO input file:
```
&SYSTEM
  ibrav = 0, nat = 4, ntyp = 3
/
ATOMIC_SPECIES
Pr 140.91 Pr.upf
Sn 118.71 Sn.upf
Pt 195.08 Pt.upf
CELL_PARAMETERS angstrom
2.024 1.169 9.896
-2.024 1.169 9.896
0.000 -2.337 9.896
ATOMIC_POSITIONS crystal
Pr 0.109 0.109 0.109
Pr 0.891 0.891 0.891
Sn 0.000 0.000 0.000
Pt 0.500 0.500 0.500
```

Summary:
Formation energy from the elements ... -1.7 eV per formula unit
DOS at the Fermi energy ... 3.55 states/eV/cell
DFT total energy ... -5.320 eV/atom

# 2
Sr2PrSn4Pt3 after structural relaxation, computed with PBE-GGA. Values from VASP.

Quantum ESPRESSO input file:
```
&SYSTEM
  ibrav = 0, nat = 10, ntyp = 4
/
ATOMIC_SPECIES
Sr 87.62 Sr.upf
Pr 140.91 Pr.upf
Sn 118.71 Sn.upf
Pt 195.08 Pt.upf
CELL_PARAMETERS angstrom
4.574 0.000 0.000
0.000 4.574 0.000
0.000 0.000 12.502
ATOMIC_POSITIONS crystal
Sr 0.000 0.500 0.229
Sr 0.500 0.000 0.771
Pr 0.000 0.000 0.500
Sn 0.000 0.000 0.000
Sn 0.000 0.500 0.668
Sn 0.500 0.000 0.332
Sn 0.500 0.500 0.000
Pt 0.000 0.500 0.881
Pt 0.500 0.000 0.119
Pt 0.500 0.500 0.500
```

Summary:
Formation energy from the elements ... -7.2 eV per formula unit
DOS at the Fermi energy ... 4.57 states/eV/cell
DFT total energy ... -4.953 eV/atom

# 3
Pr2TiSn3Pt4 after structural relaxation, computed with PBE-GGA. Values from VASP.

Quantum ESPRESSO input file:
```
&SYSTEM
  ibrav = 0, nat = 10, ntyp = 4
/
ATOMIC_SPECIES
Pr 140.91 Pr.upf
Ti 47.87 Ti.upf
Sn 118.71 Sn.upf
Pt 195.08 Pt.upf
CELL_PARAMETERS angstrom
4.564 0.000 0.000
0.000 4.564 0.000
0.000 0.000 10.673
ATOMIC_POSITIONS crystal
Pr 0.000 0.500 0.245
Pr 0.500 0.000 0.755
Ti 0.000 0.000 0.500
Sn 0.000 0.500 0.869
Sn 0.500 0.000 0.131
Sn 0.500 0.500 0.500
Pt 0.000 0.000 0.000
Pt 0.000 0.500 0.626
Pt 0.500 0.000 0.374
Pt 0.500 0.500 0.000
```

Summary:
Formation energy from the elements ... -8.6 eV per formula unit
DOS at the Fermi energy ... 7.48 states/eV/cell
DFT total energy ... -6.219 eV/atom